No. 1
DFT (PBE-GGA) results for a geometry-optimized PaFe2PC structure.

Structure (POSCAR):
```
PaFe2PC
1.0
1.841 -5.272 0.000
1.841 5.272 0.000
0.000 0.000 6.625
Pa Fe P C
2 4 2 2
Cartesian
1.841 4.709 4.969
1.841 -4.709 1.656
1.841 1.778 3.673
1.841 1.778 6.264
1.841 -1.778 0.361
1.841 -1.778 2.951
1.841 2.904 1.656
1.841 -2.904 4.969
1.841 0.000 0.000
1.841 0.000 3.312
```

Computed properties:
Total moment ... 0.00 μB per formula unit
Electronic total energy ... -8.875 eV/atom
Symmetry ... No. 63

---

No. 2
DFT (PBE-GGA) results for a geometry-optimized Pa2Fe2P2C structure.

Structure (POSCAR):
```
Pa2Fe2P2C
1.0
5.302 -1.885 0.000
5.302 1.885 0.000
-3.841 0.000 5.259
Pa Fe P C
2 2 2 1
Cartesian
-0.588 0.000 1.570
7.351 0.000 3.690
-0.333 0.000 4.808
7.096 0.000 0.451
2.278 0.000 1.485
4.485 0.000 3.775
5.302 0.000 0.000
```

Computed properties:
Total moment ... 0.58 μB per formula unit
Electronic total energy ... -8.823 eV/atom
Symmetry ... No. 12

---

No. 3
DFT (PBE-GGA) results for a geometry-optimized Fe2PPbC structure.

Structure (POSCAR):
```
Fe2PPbC
1.0
3.831 0.000 0.000
0.000 3.831 0.000
0.000 0.000 5.223
Fe P Pb C
2 1 1 1
Cartesian
0.000 1.915 0.000
1.915 0.000 0.000
0.000 0.000 2.612
1.915 1.915 2.612
1.915 1.915 0.000
```

Computed properties:
Total moment ... 3.50 μB per formula unit
Electronic total energy ... -6.237 eV/atom
Symmetry ... No. 123

---

No. 4
DFT (PBE-GGA) results for a geometry-optimized Pm2Fe2P2C structure.

Structure (POSCAR):
```
Pm2Fe2P2C
1.0
5.318 -1.916 0.000
5.318 1.916 0.000
-3.965 0.000 5.459
Pm Fe P C
2 2 2 1
Cartesian
-0.575 0.000 1.683
7.246 0.000 3.776
-0.401 0.000 5.053
7.072 0.000 0.406
2.288 0.000 1.442
4.383 0.000 4.017
5.318 0.000 0.000
```

Computed properties:
Total moment ... 0.00 μB per formula unit
Electronic total energy ... -7.517 eV/atom
Symmetry ... No. 12

---

No. 5
DFT (PBE-GGA) results for a geometry-optimized FePPt2C structure.

Structure (POSCAR):
```
FePPt2C
1.0
4.463 0.000 0.000
0.000 4.463 0.000
0.000 0.000 4.215
Fe P Pt C
1 1 2 1
Cartesian
0.000 0.000 0.000
0.000 0.000 2.107
0.000 2.231 2.107
2.231 0.000 2.107
2.231 2.231 0.000
```

Computed properties:
Total moment ... 1.93 μB per formula unit
Electronic total energy ... -5.589 eV/atom
Symmetry ... No. 123

---

No. 6
DFT (PBE-GGA) results for a geometry-optimized PuFe2PC structure.

Structure (POSCAR):
```
PuFe2PC
1.0
1.836 -5.199 0.000
1.836 5.199 0.000
0.000 0.000 6.643
Pu Fe P C
2 4 2 2
Cartesian
1.836 4.702 4.983
1.836 -4.702 1.661
1.836 1.765 3.703
1.836 1.765 6.262
1.836 -1.765 0.381
1.836 -1.765 2.941
1.836 2.823 1.661
1.836 -2.823 4.983
1.836 0.000 0.000
1.836 0.000 3.322
```

Computed properties:
Total moment ... 4.90 μB per formula unit
Electronic total energy ... -9.711 eV/atom
Symmetry ... No. 63

---

No. 7
DFT (PBE-GGA) results for a geometry-optimized FePRuC2 structure.

Structure (POSCAR):
```
FePRuC2
1.0
3.599 0.000 0.000
0.000 3.599 0.000
0.000 0.000 4.444
Fe P Ru C
1 1 1 2
Cartesian
0.000 0.000 0.000
0.000 0.000 2.222
1.800 1.800 0.000
0.000 1.800 2.222
1.800 0.000 2.222
```

Computed properties:
Total moment ... 3.69 μB per formula unit
Electronic total energy ... -6.455 eV/atom
Symmetry ... No. 123

---

No. 8
DFT (PBE-GGA) results for a geometry-optimized FeP2CS structure.

Structure (POSCAR):
```
FeP2CS
1.0
4.125 0.000 0.000
0.000 4.125 0.000
0.000 0.000 4.807
Fe P C S
1 2 1 1
Cartesian
0.000 0.000 0.000
0.000 2.063 0.000
2.063 0.000 0.000
2.063 2.063 2.404
0.000 0.000 2.404
```

Computed properties:
ΔE to the lowest computed polymorph ... 398 meV per atom
Total moment ... 0.24 μB per formula unit
Formation energy without anion corrections ... 1.6632 eV per atom
Symmetry ... No. 123

---

No. 9
DFT (PBE-GGA) results for a geometry-optimized FeP2CS structure.

Structure (POSCAR):
```
FeP2CS
1.0
3.863 0.000 0.000
0.000 3.863 0.000
0.000 0.000 4.056
Fe P C S
1 2 1 1
Cartesian
0.000 0.000 0.000
0.000 1.932 2.028
1.932 0.000 2.028
1.932 1.932 2.028
1.932 1.932 0.000
```

Computed properties:
ΔE to the lowest computed polymorph ... 0 meV per atom
Total moment ... 0.00 μB per formula unit
Formation energy without anion corrections ... 1.2650 eV per atom
Symmetry ... No. 123

---

No. 10
DFT (PBE-GGA) results for a geometry-optimized ScFe2PC structure.

Structure (POSCAR):
```
ScFe2PC
1.0
1.751 -5.149 0.000
1.751 5.149 0.000
0.000 0.000 6.522
Sc Fe P C
2 4 2 2
Cartesian
1.751 4.703 4.891
1.751 -4.703 1.630
1.751 1.711 3.622
1.751 1.711 6.160
1.751 -1.711 0.361
1.751 -1.711 2.899
1.751 2.753 1.630
1.751 -2.753 4.891
1.751 0.000 0.000
1.751 0.000 3.261
```

Computed properties:
Total moment ... 0.00 μB per formula unit
Electronic total energy ... -8.272 eV/atom
Symmetry ... No. 63

---

No. 11
DFT (PBE-GGA) results for a geometry-optimized FeSiPC2 structure.

Structure (POSCAR):
```
FeSiPC2
1.0
3.824 0.000 0.000
0.000 2.710 0.000
-0.612 0.000 4.776
Fe Si P C
1 1 1 2
Cartesian
0.000 0.000 0.000
0.350 0.000 2.454
1.925 1.355 0.618
1.729 1.355 2.421
2.908 1.355 3.223
```

Computed properties:
ΔE to the lowest computed polymorph ... 298 meV per atom
Total moment ... 0.00 μB per formula unit
Formation energy without anion corrections ... 0.3928 eV per atom
Symmetry ... No. 6

---

No. 12
DFT (PBE-GGA) results for a geometry-optimized FeSiPC2 structure.

Structure (POSCAR):
```
FeSiPC2
1.0
2.880 0.000 0.000
0.000 2.984 0.000
0.000 0.000 6.955
Fe Si P C
1 1 1 2
Cartesian
0.000 0.000 0.000
1.440 0.000 1.856
1.440 1.492 6.006
1.440 1.492 3.022
1.440 1.492 4.305
```

Computed properties:
ΔE to the lowest computed polymorph ... 276 meV per atom
Total moment ... 0.86 μB per formula unit
Formation energy without anion corrections ... 0.3715 eV per atom
Symmetry ... No. 25

---

No. 13
DFT (PBE-GGA) results for a geometry-optimized FeSiPC2 structure.

Structure (POSCAR):
```
FeSiPC2
1.0
3.497 0.000 0.000
1.623 3.752 0.000
1.082 -0.245 5.211
Fe Si P C
1 1 1 2
Cartesian
0.000 0.000 0.000
1.722 0.151 1.613
3.420 2.132 0.296
3.572 3.547 3.361
4.532 3.272 4.228
```

Computed properties:
ΔE to the lowest computed polymorph ... 482 meV per atom
Total moment ... 0.02 μB per formula unit
Formation energy without anion corrections ... 0.5771 eV per atom
Symmetry ... No. 1

---

No. 14
DFT (PBE-GGA) results for a geometry-optimized FeSiPC2 structure.

Structure (POSCAR):
```
FeSiPC2
1.0
3.879 -1.412 0.000
3.879 1.412 0.000
-1.288 0.000 4.931
Fe Si P C
1 1 1 2
Cartesian
0.000 0.000 0.000
2.841 0.000 2.944
2.229 0.000 0.134
-0.037 0.000 2.053
1.308 0.000 1.814
```

Computed properties:
ΔE to the lowest computed polymorph ... 332 meV per atom
Total moment ... 0.00 μB per formula unit
Formation energy without anion corrections ... 0.4272 eV per atom
Symmetry ... No. 8

---

No. 15
DFT (PBE-GGA) results for a geometry-optimized FeSiPC2 structure.

Structure (POSCAR):
```
FeSiPC2
1.0
3.903 -1.430 0.000
3.903 1.430 0.000
-2.912 0.000 4.811
Fe Si P C
1 1 1 2
Cartesian
0.000 0.000 0.000
-0.273 0.000 2.347
2.167 0.000 0.668
1.283 0.000 3.432
2.414 0.000 2.507
```

Computed properties:
ΔE to the lowest computed polymorph ... 206 meV per atom
Total moment ... 0.00 μB per formula unit
Formation energy without anion corrections ... 0.3015 eV per atom
Symmetry ... No. 8

---

No. 16
DFT (PBE-GGA) results for a geometry-optimized FeSiPC2 structure.

Structure (POSCAR):
```
FeSiPC2
1.0
4.796 0.000 0.000
0.000 2.583 0.000
-1.020 0.000 5.070
Fe Si P C
1 1 1 2
Cartesian
0.000 0.000 0.000
0.918 1.292 1.655
4.046 1.292 3.347
2.867 1.292 1.722
3.317 0.000 1.094
```

Computed properties:
ΔE to the lowest computed polymorph ... 310 meV per atom
Total moment ... 0.37 μB per formula unit
Formation energy without anion corrections ... 0.4054 eV per atom
Symmetry ... No. 6

---

No. 17
DFT (PBE-GGA) results for a geometry-optimized FeSiPC2 structure.

Structure (POSCAR):
```
FeSiPC2
1.0
3.945 -1.311 0.000
3.945 1.311 0.000
-2.694 0.000 5.124
Fe Si P C
1 1 1 2
Cartesian
0.000 0.000 0.000
1.315 0.000 3.263
2.182 0.000 0.279
-0.249 0.000 2.149
2.934 0.000 2.094
```

Computed properties:
ΔE to the lowest computed polymorph ... 117 meV per atom
Total moment ... 0.00 μB per formula unit
Formation energy without anion corrections ... 0.2120 eV per atom
Symmetry ... No. 8

---

No. 18
DFT (PBE-GGA) results for a geometry-optimized FeSiPC2 structure.

Structure (POSCAR):
```
FeSiPC2
1.0
2.787 0.000 0.000
1.352 3.957 0.000
0.047 1.066 4.757
Fe Si P C
1 1 1 2
Cartesian
0.000 0.000 0.000
1.362 1.645 2.557
2.788 3.325 4.168
2.738 4.068 1.461
2.759 2.923 2.385
```

Computed properties:
ΔE to the lowest computed polymorph ... 244 meV per atom
Total moment ... 0.00 μB per formula unit
Formation energy without anion corrections ... 0.3389 eV per atom
Symmetry ... No. 1

---

No. 19
DFT (PBE-GGA) results for a geometry-optimized FeSiPC2 structure.

Structure (POSCAR):
```
FeSiPC2
1.0
3.741 -1.460 0.000
3.741 1.460 0.000
-1.184 0.000 5.479
Fe Si P C
1 1 1 2
Cartesian
0.000 0.000 0.000
4.380 0.000 2.188
4.143 0.000 4.455
1.518 0.000 1.512
2.859 0.000 1.091
```

Computed properties:
ΔE to the lowest computed polymorph ... 229 meV per atom
Total moment ... 1.49 μB per formula unit
Formation energy without anion corrections ... 0.3246 eV per atom
Symmetry ... No. 8

---

No. 20
DFT (PBE-GGA) results for a geometry-optimized FeSiPC2 structure.

Structure (POSCAR):
```
FeSiPC2
1.0
2.561 0.000 0.000
0.278 4.794 0.000
0.939 0.443 5.020
Fe Si P C
1 1 1 2
Cartesian
0.000 0.000 0.000
2.427 4.078 3.425
2.190 2.206 4.748
1.148 3.112 1.034
2.444 3.529 1.605
```

Computed properties:
ΔE to the lowest computed polymorph ... 139 meV per atom
Total moment ... 0.98 μB per formula unit
Formation energy without anion corrections ... 0.2342 eV per atom
Symmetry ... No. 1

---

No. 21
DFT (PBE-GGA) results for a geometry-optimized FeSiPC2 structure.

Structure (POSCAR):
```
FeSiPC2
1.0
3.930 -1.544 0.000
3.930 1.544 0.000
-1.791 0.000 4.955
Fe Si P C
1 1 1 2
Cartesian
0.000 0.000 0.000
1.153 0.000 2.496
0.523 0.000 4.637
6.130 0.000 2.504
7.243 0.000 1.668
```

Computed properties:
ΔE to the lowest computed polymorph ... 363 meV per atom
Total moment ... 1.01 μB per formula unit
Formation energy without anion corrections ... 0.4578 eV per atom
Symmetry ... No. 8

---

No. 22
DFT (PBE-GGA) results for a geometry-optimized FeSiPC2 structure.

Structure (POSCAR):
```
FeSiPC2
1.0
3.176 0.000 0.000
1.387 3.827 0.000
0.537 -0.186 4.726
Fe Si P C
1 1 1 2
Cartesian
0.000 0.000 0.000
2.119 3.699 2.418
2.157 1.315 4.564
0.722 1.473 1.411
3.672 2.881 1.651
```

Computed properties:
ΔE to the lowest computed polymorph ... 322 meV per atom
Total moment ... 0.74 μB per formula unit
Formation energy without anion corrections ... 0.4169 eV per atom
Symmetry ... No. 1

---

No. 23
DFT (PBE-GGA) results for a geometry-optimized FeSiPC2 structure.

Structure (POSCAR):
```
FeSiPC2
1.0
3.088 0.000 0.000
0.000 1.261 6.902
0.000 -1.261 6.902
Fe Si P C
1 1 1 2
Cartesian
0.000 0.000 0.000
1.544 0.000 5.483
1.544 0.000 8.042
1.544 0.000 3.602
1.544 0.000 9.847
```

Computed properties:
ΔE to the lowest computed polymorph ... 0 meV per atom
Total moment ... 0.00 μB per formula unit
Formation energy without anion corrections ... 0.0952 eV per atom
Symmetry ... No. 38

---

No. 24
DFT (PBE-GGA) results for a geometry-optimized FeSiPC2 structure.

Structure (POSCAR):
```
FeSiPC2
1.0
3.813 -1.502 0.000
3.813 1.502 0.000
-2.499 0.000 5.053
Fe Si P C
1 1 1 2
Cartesian
0.000 0.000 0.000
-0.123 0.000 2.295
2.284 0.000 0.292
4.581 0.000 3.036
5.914 0.000 3.187
```

Computed properties:
ΔE to the lowest computed polymorph ... 264 meV per atom
Total moment ... 0.00 μB per formula unit
Formation energy without anion corrections ... 0.3589 eV per atom
Symmetry ... No. 8

---

No. 25
DFT (PBE-GGA) results for a geometry-optimized Sm2Fe2P2C structure.

Structure (POSCAR):
```
Sm2Fe2P2C
1.0
5.303 -1.911 0.000
5.303 1.911 0.000
-3.955 0.000 5.423
Sm Fe P C
2 2 2 1
Cartesian
-0.570 0.000 1.668
7.221 0.000 3.755
-0.403 0.000 5.014
7.054 0.000 0.408
2.285 0.000 1.447
4.366 0.000 3.976
5.303 0.000 0.000
```

Computed properties:
Total moment ... 0.00 μB per formula unit
Electronic total energy ... -7.514 eV/atom
Symmetry ... No. 12

---

No. 26
DFT (PBE-GGA) results for a geometry-optimized Sr2Fe2P2C structure.

Structure (POSCAR):
```
Sr2Fe2P2C
1.0
5.400 -1.935 0.000
5.400 1.935 0.000
-3.931 0.000 5.884
Sr Fe P C
2 2 2 1
Cartesian
-0.607 0.000 1.853
7.475 0.000 4.031
-0.270 0.000 5.494
7.139 0.000 0.391
2.324 0.000 1.392
4.544 0.000 4.493
5.400 0.000 0.000
```

Computed properties:
Total moment ... 0.00 μB per formula unit
Electronic total energy ... -6.379 eV/atom
Symmetry ... No. 12